Record 1
## TmNp2PaP4 (PBE-GGA)

Data for a relaxed TmNp2PaP4 crystal.

**Energy relative to the elements**: -1.17 eV per atom
**Theoretical density**: 9.42 g/cm3
**D(E_F)**: 19.294 states/eV/f.u.
**Volume**: 21.99 Å³ per atom

Lattice parameters (Å, degrees): 3.971 6.866 6.849 109.61 90.00 90.00
Last column: magnetic moment on the atom in μB.
Atoms (fractional coordinates):
P 0.000 0.249 0.750  -0.07
P 0.500 0.750 0.750  -0.07
Tm 0.000 0.000 0.000  0.00
P 0.000 0.751 0.250  -0.07
Np 0.500 0.000 0.500  3.63
Np 0.000 0.500 0.500  3.67
P 0.500 0.250 0.250  -0.07
Pa 0.500 0.500 0.000  0.49



Record 2
## U4GeAs4 (PBE-GGA)

Data for a relaxed U4GeAs4 crystal.

**Energy relative to the elements**: -0.35 eV per atom
**Theoretical density**: 9.26 g/cm3
**D(E_F)**: 23.600 states/eV/f.u.
**Volume**: 26.40 Å³ per atom

Lattice parameters (Å, degrees): 5.704 9.127 9.127 90.00 90.00 90.00
Last column: magnetic moment on the atom in μB.
Atoms (fractional coordinates):
U 0.493 0.396 0.198  1.99
U 0.507 0.802 0.396  1.99
As 0.507 0.899 0.700  -0.08
Ge 0.500 0.500 0.500  -0.06
As 0.007 0.800 0.399  -0.08
U 0.993 0.698 0.104  1.99
As 0.507 0.101 0.300  -0.08
As 0.993 0.601 0.800  -0.08
As 0.493 0.300 0.899  -0.08
U 0.007 0.104 0.302  1.99
U 0.007 0.896 0.698  1.99
As 0.493 0.700 0.101  -0.08
As 0.007 0.200 0.601  -0.08
Ge 0.000 0.000 0.000  -0.06
U 0.493 0.604 0.802  1.99
U 0.507 0.198 0.604  1.99
U 0.993 0.302 0.896  1.99
As 0.993 0.399 0.200  -0.08



Record 3
## PmPrTi (PBE-GGA)

Data for a relaxed PmPrTi crystal.

**Energy relative to the elements**: 0.22 eV per atom
**Theoretical density**: 6.32 g/cm3
**D(E_F)**: 4.272 states/eV/f.u.
**Volume**: 29.21 Å³ per atom

Lattice parameters (Å, degrees): 3.662 5.650 12.306 136.51 90.01 89.99
Last column: magnetic moment on the atom in μB.
Atoms (fractional coordinates):
Pm 0.750 0.848 0.562  0.02
Ti 0.250 0.369 0.888  0.93
Pr 0.750 0.772 0.827  0.00
Pm 0.250 0.152 0.438  0.02
Pr 0.250 0.228 0.173  0.00
Ti 0.750 0.631 0.112  0.93



Record 4
## GdScZnSn (PBE-GGA)

Data for a relaxed GdScZnSn crystal.

**Energy relative to the elements**: -0.48 eV per atom
**Theoretical density**: 6.94 g/cm3
**D(E_F)**: 2.870 states/eV/f.u.
**Volume**: 23.11 Å³ per atom

Lattice parameters (Å, degrees): 5.075 5.075 5.075 60.00 60.00 60.00
Last column: magnetic moment on the atom in μB.
Atoms (fractional coordinates):
Gd 0.000 0.000 0.000  7.06
Sn 0.250 0.250 0.250  -0.03
Sc 0.500 0.500 0.500  0.11
Zn 0.750 0.750 0.750  -0.01



theoretical density of number 3 (PmPrTi)?
6.32 g/cm3



D(E_F) of number 3 (PmPrTi)?
4.272 states/eV/f.u.



Among the records above, which one has the highest energy relative to the elements?
PmPrTi



Number 2 is which compound?
U4GeAs4